Here is crystalline BaVMo2O8 at its relaxed geometry from Alexandria via LeMat-Bulk. Energies are from GGA+U.

Unit cell a=5.8483 b=5.8483 c=7.2519 alpha=90.00 beta=90.00 gamma=120.00
Closest atoms and distances in Å follow each position.
Atoms (fractional coordinates):
Ba 0.0000 0.0000 0.0000  6 O 2.84
V 0.0000 0.0000 0.5000  6 O 2.11
Mo 0.3333 0.6667 0.7538  4 O 1.78-1.81
Mo 0.6667 0.3333 0.2462  4 O 1.78-1.81
O 0.1628 0.3256 0.6809  1 Mo 1.81
O 0.1628 0.8372 0.6809  1 Mo 1.81
O 0.3256 0.1628 0.3191  1 Mo 1.81
O 0.3333 0.6667 0.9994  1 Mo 1.78
O 0.6667 0.3333 0.0006  1 Mo 1.78
O 0.6744 0.8372 0.6809  1 Mo 1.81
O 0.8372 0.1628 0.3191  1 Mo 1.81
O 0.8372 0.6744 0.3191  1 Mo 1.81

Output
Energy in eV per cell: -87.1